No. 1
Here is a geometry-optimized KCd4 structure from Alexandria via LeMat-Bulk. Energies are from PBE.

POSCAR file:
```
KCd4
1.0
9.0980 0.0000 0.0000
-3.0327 8.5777 0.0000
-3.0327 -4.2889 7.4285
Cd K
16 4
direct
0.7917 0.7917 0.7917
0.2083 0.0000 0.0000
0.0000 0.2083 0.0000
0.0000 0.0000 0.2083
0.6485 0.6485 0.0000
0.3515 0.3515 0.0000
0.6485 0.0000 0.6485
0.3515 0.0000 0.3515
0.0000 0.6485 0.6485
0.0000 0.3515 0.3515
0.2500 0.7500 0.5000
0.7500 0.2500 0.5000
0.7500 0.5000 0.2500
0.2500 0.5000 0.7500
0.5000 0.2500 0.7500
0.5000 0.7500 0.2500
0.4301 0.4301 0.4301
0.5699 0.0000 0.0000
0.0000 0.5699 0.0000
0.0000 0.0000 0.5699
```

raw total energy: -0.97 eV/atom
size of the total moment: 0.00 μB per formula unit
energy of formation: -1.8 kJ/mol of atoms
DOS(E_F): 10.93 states/eV per cell


No. 2
Here is a geometry-optimized AgHg5 structure from Alexandria via LeMat-Bulk. Energies are from PBE.

POSCAR file:
```
AgHg5
1.0
0.0000 4.2983 4.2983
4.2983 0.0000 4.2983
4.2983 4.2983 0.0000
Ag Hg
1 5
direct
0.0000 0.0000 0.0000
0.8765 0.3745 0.3745
0.7500 0.7500 0.7500
0.3745 0.8765 0.3745
0.3745 0.3745 0.3745
0.3745 0.3745 0.8765
```

raw total energy: -0.50 eV/atom
size of the total moment: 0.00 μB per formula unit
energy of formation: 22.3 kJ/mol of atoms
DOS(E_F): 3.51 states/eV per cell


ΔE to the lowest computed polymorph list, top to bottom, in eV/atom: 0.049, 0.160